VASP calculation (PBE) on crystalline SrLaSn3 at its relaxed geometry.

Values from the calculation:
- space group = Pm-3m, No. 221
- energy above the lowest structure with this stoichiometry (meV/atom) = 291
- magnetization (μB per atom) = 0.0000
- formation energy (eV per atom) = 0.38

Cell lengths 5.7672, 5.7672, 5.7672 Å; angles 90.00, 90.00, 90.00 degrees
Last column: nearest neighbours and their distance in Å.
Fractional coordinates of all 5 atoms:
1 Sr 0.0000 0.0000 0.0000  6 Sn 2.88
2 Sn 0.0000 0.5000 0.0000  2 Sr 2.88
3 Sn 0.0000 0.0000 0.5000  2 Sr 2.88
4 Sn 0.5000 0.0000 0.0000  2 Sr 2.88
5 La 0.5000 0.5000 0.5000  12 Sn 4.08